{
  "formula": "CrTcSe",
  "functional": "PBEsol",
  "state": "optimized geometry",
  "cell": [[-1.055, -2.260, 1.410], [2.530, -2.425, -1.993], [1.130, 1.656, 3.498]],
  "species": ["Tc", "Cr", "Se"],
  "fractional_positions": [[0.500, 0.667, 0.333], [0.000, 0.000, 0.000], [0.000, 0.333, 0.667]],
  "spacegroup": "P-6m2 (187)",
  "volume_a3_per_cell": 40.33,
  "dft_energy_ev_per_atom": -8.279
}